# 1
Density functional theory data (PBE) for an optimized crystal structure of Ac8Co4Cu.

Cell: 4.2783 10.4422 10.4662 Å, 87.53 78.21 78.18°
Sites, in units of the cell vectors:
1 Ac 0.1624 0.3741 0.3011
2 Ac 0.5460 0.2865 0.6215
3 Ac 0.4595 0.6903 0.3907
4 Ac 0.8354 0.6114 0.7177
5 Ac 0.8573 0.3213 0.9641
6 Ac 0.1900 0.9455 0.6744
7 Ac 0.1485 0.6599 0.0431
8 Ac 0.8146 0.0294 0.3414
9 Co 0.3528 0.4611 0.8333
10 Co 0.8314 0.8125 0.5246
11 Co 0.1779 0.1641 0.4800
12 Co 0.6540 0.5123 0.1797
13 Cu 0.6151 0.8640 0.9058

Computed properties:
raw total energy = -64.960 eV/f.u.
total moment = 0.00 μB per formula unit
symmetry = Cm, No. 8

# 2
Density functional theory data (PBE) for an optimized crystal structure of Ac8Co2Cu.

Cell: 8.6559 7.7757 7.0874 Å, 90.60 90.00 123.82°
Sites, in units of the cell vectors:
1 Ac 0.8601 0.2708 0.1728
2 Ac 0.4108 0.2708 0.1728
3 Ac 0.1399 0.7292 0.8272
4 Ac 0.3724 0.7448 0.3148
5 Ac 0.5892 0.7292 0.8272
6 Ac 0.8767 0.7534 0.3590
7 Ac 0.1233 0.2466 0.6410
8 Ac 0.6276 0.2552 0.6852
9 Co 0.7917 0.5835 0.9896
10 Co 0.2083 0.4165 0.0104
11 Cu 0.0000 0.0000 0.0000

Computed properties:
raw total energy = -51.213 eV/f.u.
total moment = 0.00 μB per formula unit
symmetry = C2/m, No. 12

# 3
Density functional theory data (PBE) for an optimized crystal structure of Ac9Co3Cu.

Cell: 7.1439 11.0508 11.8915 Å, 90.00 95.87 90.00°
Sites, in units of the cell vectors:
1 Ac 0.1389 0.2500 0.9697
2 Ac 0.1398 0.9286 0.7909
3 Ac 0.1398 0.5714 0.7909
4 Ac 0.2466 0.9376 0.4601
5 Ac 0.2466 0.5624 0.4601
6 Ac 0.2924 0.2500 0.6404
7 Ac 0.3454 0.9290 0.1229
8 Ac 0.3454 0.5710 0.1229
9 Ac 0.4094 0.2500 0.3031
10 Ac 0.5906 0.7500 0.6969
11 Ac 0.6546 0.0710 0.8771
12 Ac 0.6546 0.4290 0.8771
13 Ac 0.7076 0.7500 0.3596
14 Ac 0.7534 0.0624 0.5399
15 Ac 0.7534 0.4376 0.5399
16 Ac 0.8602 0.0714 0.2091
17 Ac 0.8602 0.4286 0.2091
18 Ac 0.8611 0.7500 0.0303
19 Co 0.0000 0.0000 0.0000
20 Co 0.0000 0.5000 0.0000
21 Co 0.4454 0.4947 0.6725
22 Co 0.4454 0.0053 0.6725
23 Co 0.5546 0.9947 0.3275
24 Co 0.5546 0.5053 0.3275
25 Cu 0.0230 0.2500 0.4126
26 Cu 0.9770 0.7500 0.5874

Computed properties:
raw total energy = -62.418 eV/f.u.
total moment = 0.00 μB per formula unit
symmetry = P2_1/m, No. 11

| no. | calculated density (Mg/m³) |
| --- | --- |
| 1 | 7.84 |
| 2 | 8.37 |
| 3 | 8.12 |